Computed, not measured: VRePd2F after structural relaxation at the GGA+U level of DFT.

Spin magnetization, μB/f.u.: 1.74
SG: P4/mmm (123)
Final energy, eV/atom: -5.315

a b c (Å): 4.7722 4.9386 4.7722
angles (deg): 90.00 90.00 90.00
With the nearest neighbours (Å) after each atom.
Fractional positions:
Re: 0.0000 0.0000 0.0000  4 Pd 2.39, 2 V 2.47
F: 0.5000 0.5000 0.5000  4 V 3.37, 8 Pd 3.43
Pd: 0.0000 0.0000 0.5000  2 Re 2.39
Pd: 0.5000 0.0000 0.0000  2 Re 2.39
V: 0.0000 0.5000 0.0000  2 Re 2.47